Record 1
Below is RbGe2B after structural relaxation, with properties calculated at the PBE-GGA level. Values from VASP.

Summary:
V (Å³/atom): 26.23
Mass density (g/cm3): 3.8
DFT formation energy (eV/atom): 0.548
Crystal system: tetragonal
Total DFT energy (no corrections) (eV/atom): -3.672
Symmetry: No. 122

The structure in Quantum ESPRESSO input format:
```
&SYSTEM
  ibrav = 0, nat = 8, ntyp = 3
/
ATOMIC_SPECIES
Ge 72.64 Ge.upf
B 10.81 B.upf
Rb 85.47 Rb.upf
CELL_PARAMETERS angstrom
6.6403 0.0000 0.0000
0.0000 6.6403 0.0000
3.3202 3.3202 4.7583
ATOMIC_POSITIONS crystal
Ge 0.4576 0.1250 0.2500
Ge 0.2924 0.6250 0.2500
Ge 0.3750 0.5424 0.7500
Ge 0.8750 0.7076 0.7500
B 0.5000 0.5000 0.0000
B 0.2500 0.7500 0.5000
Rb 0.0000 0.0000 0.0000
Rb 0.7500 0.2500 0.5000
```



Record 2
Below is TcPtF2 after structural relaxation, with properties calculated at the PBE-GGA level. Values from VASP.

Summary:
V (Å³/atom): 16.03
Mass density (g/cm3): 8.6
Crystal system: tetragonal
Uncorrected formation energy (eV per atom): -0.1620
Total DFT energy (no corrections) (eV/atom): -5.199
Distance to the lowest polymorph of the same formula (eV/f.u.): 2.21
Symmetry: No. 122

The structure in Quantum ESPRESSO input format:
```
&SYSTEM
  ibrav = 0, nat = 8, ntyp = 3
/
ATOMIC_SPECIES
Tc 98.00 Tc.upf
Pt 195.08 Pt.upf
F 19.00 F.upf
CELL_PARAMETERS angstrom
-0.4351 -3.8643 -6.1008
7.2216 -0.2247 -0.3727
3.3965 -4.1138 -1.9263
ATOMIC_POSITIONS crystal
Tc 0.5000 0.5000 0.0000
Tc 0.2500 0.7500 0.5000
Pt 0.0000 0.0000 0.0000
Pt 0.7500 0.2500 0.5000
F 0.4942 0.1250 0.2500
F 0.2558 0.6250 0.2500
F 0.3750 0.5058 0.7500
F 0.8750 0.7442 0.7500
```



Record 3
Below is Ho3Er6Tl after structural relaxation, with properties calculated at the PBE-GGA level. Values from VASP.

Summary:
V (Å³/atom): 30.28
Mass density (g/cm3): 9.3
DFT formation energy (eV/atom): 0.018
Crystal system: monoclinic
Total DFT energy (no corrections) (eV/atom): -4.330
Distance to the lowest polymorph of the same formula (eV/f.u.): 0.27
Symmetry: No. 11

The structure in Quantum ESPRESSO input format:
```
&SYSTEM
  ibrav = 0, nat = 20, ntyp = 3
/
ATOMIC_SPECIES
Ho 164.93 Ho.upf
Er 167.26 Er.upf
Tl 204.38 Tl.upf
CELL_PARAMETERS angstrom
3.4687 0.0000 0.0000
0.0000 12.1605 -3.2902
0.0000 1.1266 14.0537
ATOMIC_POSITIONS crystal
Ho 0.7500 0.4225 0.9033
Ho 0.2500 0.5775 0.0967
Ho 0.7500 0.6289 0.5028
Ho 0.2500 0.3711 0.4972
Ho 0.7500 0.0746 0.1011
Ho 0.2500 0.9254 0.8989
Er 0.7500 0.4890 0.6909
Er 0.2500 0.5110 0.3091
Er 0.7500 0.8076 0.0750
Er 0.2500 0.1924 0.9250
Er 0.7500 0.3425 0.1173
Er 0.2500 0.6575 0.8827
Er 0.7500 0.7527 0.3083
Er 0.2500 0.2473 0.6917
Er 0.7500 0.1154 0.4671
Er 0.2500 0.8846 0.5329
Er 0.7500 0.7726 0.7148
Er 0.2500 0.2274 0.2852
Tl 0.7500 0.0329 0.7230
Tl 0.2500 0.9671 0.2770
```



Record 4
Below is Rb2NpBSe5 after structural relaxation, with properties calculated at the PBE-GGA level. Values from VASP.

Summary:
V (Å³/atom): 32.98
Mass density (g/cm3): 4.6
Crystal system: monoclinic
Uncorrected formation energy (eV per atom): -0.7526
Total DFT energy (no corrections) (eV/atom): -5.083
Symmetry: No. 8

The structure in Quantum ESPRESSO input format:
```
&SYSTEM
  ibrav = 0, nat = 18, ntyp = 4
/
ATOMIC_SPECIES
Rb 85.47 Rb.upf
Np 237.00 Np.upf
B 10.81 B.upf
Se 78.96 Se.upf
CELL_PARAMETERS angstrom
4.0385 0.0000 0.0000
-2.0192 9.9336 -0.0141
0.0000 -0.0211 14.7979
ATOMIC_POSITIONS crystal
Rb 0.8820 0.7640 0.8386
Rb 0.1309 0.2617 0.6877
Rb 0.1183 0.2365 0.3377
Rb 0.8685 0.7370 0.1894
Np 0.8115 0.6230 0.5302
Np 0.1886 0.3772 0.0294
B 0.5794 0.1588 0.9075
B 0.4208 0.8415 0.4092
Se 0.3189 0.6378 0.0114
Se 0.6811 0.3623 0.8917
Se 0.5196 0.0392 0.8035
Se 0.3142 0.6283 0.6570
Se 0.9468 0.8937 0.4956
Se 0.6813 0.3625 0.5109
Se 0.3190 0.6379 0.3928
Se 0.4802 0.9604 0.3053
Se 0.6857 0.3713 0.1562
Se 0.0533 0.1066 0.9938
```



Record 5
Below is Li5UN4 after structural relaxation, with properties calculated at the PBE-GGA level. Values from VASP.

Summary:
V (Å³/atom): 11.08
Mass density (g/cm3): 4.9
Crystal system: orthorhombic
Uncorrected formation energy (eV per atom): -0.7188
Total DFT energy (no corrections) (eV/atom): -6.135
Symmetry: No. 71

The structure in Quantum ESPRESSO input format:
```
&SYSTEM
  ibrav = 0, nat = 10, ntyp = 3
/
ATOMIC_SPECIES
Li 6.94 Li.upf
U 238.03 U.upf
N 14.01 N.upf
CELL_PARAMETERS angstrom
-2.3738 2.4019 0.6569
-1.7117 -2.5828 -5.7505
-1.6529 -2.9092 4.6643
ATOMIC_POSITIONS crystal
Li 0.1794 0.3588 0.4122
Li 0.1793 0.3587 0.9461
Li 0.8207 0.6413 0.0539
Li 0.5000 0.0000 0.5000
Li 0.8206 0.6412 0.5878
U 0.5000 0.0000 0.0000
N 0.6844 0.3688 0.1844
N 0.0000 0.0001 0.2468
N 0.3156 0.6312 0.8156
N 0.0000 0.9999 0.7532
```



Record 6
Below is Sm2Y3Sc3 after structural relaxation, with properties calculated at the PBE-GGA level. Values from VASP.

Summary:
V (Å³/atom): 29.50
Mass density (g/cm3): 4.9
DFT formation energy (eV/atom): 0.035
Crystal system: monoclinic
Total DFT energy (no corrections) (eV/atom): -5.944
Distance to the lowest polymorph of the same formula (eV/f.u.): 0.00
Symmetry: No. 12

The structure in Quantum ESPRESSO input format:
```
&SYSTEM
  ibrav = 0, nat = 8, ntyp = 3
/
ATOMIC_SPECIES
Sm 150.36 Sm.upf
Y 88.91 Y.upf
Sc 44.96 Sc.upf
CELL_PARAMETERS angstrom
3.4540 -0.0003 0.6119
-0.2755 5.8027 1.5582
-0.2918 -0.0855 11.7012
ATOMIC_POSITIONS crystal
Sm 0.2542 0.2594 0.4916
Sm 0.7458 0.7406 0.5084
Y 0.6225 0.9642 0.7549
Y 0.5000 0.5000 0.0000
Y 0.3775 0.0358 0.2451
Sc 0.1223 0.4559 0.7553
Sc 0.8777 0.5441 0.2447
Sc 0.0000 0.0000 0.0000
```



Record 7
Below is MnNiAu2I after structural relaxation, with properties calculated at the PBE-GGA level. Values from VASP.

Summary:
V (Å³/atom): 25.78
Mass density (g/cm3): 8.2
Crystal system: tetragonal
Uncorrected formation energy (eV per atom): 1.0082
Total DFT energy (no corrections) (eV/atom): -3.603
Symmetry: No. 123

The structure in Quantum ESPRESSO input format:
```
&SYSTEM
  ibrav = 0, nat = 5, ntyp = 4
/
ATOMIC_SPECIES
I 126.90 I.upf
Ni 58.69 Ni.upf
Mn 54.94 Mn.upf
Au 196.97 Au.upf
CELL_PARAMETERS angstrom
4.9728 0.0000 0.0000
0.0000 5.2123 0.0000
0.0000 0.0000 4.9728
ATOMIC_POSITIONS crystal
I 0.0000 0.5000 0.0000
Ni 0.5000 0.5000 0.5000
Mn 0.0000 0.0000 0.0000
Au 0.0000 0.0000 0.5000
Au 0.5000 0.0000 0.0000
```



Record 8
Below is Dy3In after structural relaxation, with properties calculated at the PBE-GGA level. Values from VASP.

Summary:
V (Å³/atom): 29.01
Mass density (g/cm3): 8.6
DFT formation energy (eV/atom): -0.165
Crystal system: orthorhombic
Total DFT energy (no corrections) (eV/atom): -4.301
Symmetry: No. 25

The structure in Quantum ESPRESSO input format:
```
&SYSTEM
  ibrav = 0, nat = 4, ntyp = 2
/
ATOMIC_SPECIES
In 114.82 In.upf
Dy 162.50 Dy.upf
CELL_PARAMETERS angstrom
-0.7303 5.4170 -0.4546
-3.4545 -0.4540 0.1402
0.1754 0.5305 6.0404
ATOMIC_POSITIONS crystal
In 0.5000 0.0000 0.6780
Dy 0.0000 0.0000 0.9919
Dy 0.0000 0.5000 0.5025
Dy 0.5000 0.5000 0.1610
```